Entry 1:
## DyPbC (PBE)

Data for a geometry-optimized DyPbC structure.

Properties
**DFT formation energy**: 0.1351 eV per atom
**Space group**: Immm, No. 71

Unit cell a=9.3264 b=9.3264 c=9.3264 alpha=156.16 beta=152.57 gamma=36.65
Last column: nearest neighbours and their distance in Å.
Fractional coordinates of all 6 atoms:
1 Dy 0.1015 0.1015 0.0000  2 C 2.39
2 Dy 0.8985 0.8985 0.0000  2 C 2.39
3 Pb 0.2941 0.2941 0.0000  4 Pb 3.32, 5 Dy 3.41-3.47
4 Pb 0.7059 0.7059 0.0000  4 Pb 3.32, 5 Dy 3.41-3.47
5 C 0.3566 0.0000 0.3566  1 C 1.27
6 C 0.6434 0.0000 0.6434  1 C 1.27

Entry 2:
## Dy12Pb3C5 (PBE)

Data for a geometry-optimized Dy12Pb3C5 structure.

Properties
**DFT formation energy**: -0.2290 eV per atom
**Space group**: Ia-3d, No. 230

Unit cell a=13.8171 b=13.8171 c=13.8171 alpha=109.47 beta=109.47 gamma=109.47
Last column: nearest neighbours and their distance in Å.
Fractional coordinates of all 80 atoms:
1 Dy 0.0155 0.1987 0.1126  2 C 2.31-2.56
2 Dy 0.0155 0.3167 0.9029  2 C 2.31-2.56
3 Dy 0.0861 0.6987 0.6833  2 C 2.31-2.56
4 Dy 0.0861 0.8874 0.4029  2 C 2.31-2.56
5 Dy 0.0971 0.6126 0.4139  2 C 2.31-2.56
6 Dy 0.0971 0.9845 0.6833  2 C 2.31-2.56
7 Dy 0.1126 0.0155 0.1987  2 C 2.31-2.56
8 Dy 0.1126 0.5971 0.9139  2 C 2.31-2.56
9 Dy 0.1833 0.1987 0.5861  2 C 2.31-2.56
10 Dy 0.1833 0.4845 0.5971  2 C 2.31-2.56
11 Dy 0.1987 0.1126 0.0155  2 C 2.31-2.56
12 Dy 0.1987 0.5861 0.1833  2 C 2.31-2.56
13 Dy 0.3013 0.3167 0.9139  2 C 2.31-2.56
14 Dy 0.3013 0.4845 0.3874  2 C 2.31-2.56
15 Dy 0.3167 0.9029 0.0155  2 C 2.31-2.56
16 Dy 0.3167 0.9139 0.3013  2 C 2.31-2.56
17 Dy 0.3874 0.3013 0.4845  2 C 2.31-2.56
18 Dy 0.3874 0.5861 0.9029  2 C 2.31-2.56
19 Dy 0.4029 0.0861 0.8874  2 C 2.31-2.56
20 Dy 0.4029 0.8167 0.5155  2 C 2.31-2.56
21 Dy 0.4139 0.0971 0.6126  2 C 2.31-2.56
22 Dy 0.4139 0.8167 0.8013  2 C 2.31-2.56
23 Dy 0.4845 0.3874 0.3013  2 C 2.31-2.56
24 Dy 0.4845 0.5971 0.1833  2 C 2.31-2.56
25 Dy 0.5155 0.4029 0.8167  2 C 2.31-2.56
26 Dy 0.5155 0.6126 0.6987  2 C 2.31-2.56
27 Dy 0.5861 0.1833 0.1987  2 C 2.31-2.56
28 Dy 0.5861 0.9029 0.3874  2 C 2.31-2.56
29 Dy 0.5971 0.1833 0.4845  2 C 2.31-2.56
30 Dy 0.5971 0.9139 0.1126  2 C 2.31-2.56
31 Dy 0.6126 0.4139 0.0971  2 C 2.31-2.56
32 Dy 0.6126 0.6987 0.5155  2 C 2.31-2.56
33 Dy 0.6833 0.0861 0.6987  2 C 2.31-2.56
34 Dy 0.6833 0.0971 0.9845  2 C 2.31-2.56
35 Dy 0.6987 0.5155 0.6126  2 C 2.31-2.56
36 Dy 0.6987 0.6833 0.0861  2 C 2.31-2.56
37 Dy 0.8013 0.4139 0.8167  2 C 2.31-2.56
38 Dy 0.8013 0.8874 0.9845  2 C 2.31-2.56
39 Dy 0.8167 0.5155 0.4029  2 C 2.31-2.56
40 Dy 0.8167 0.8013 0.4139  2 C 2.31-2.56
41 Dy 0.8874 0.4029 0.0861  2 C 2.31-2.56
42 Dy 0.8874 0.9845 0.8013  2 C 2.31-2.56
43 Dy 0.9029 0.0155 0.3167  2 C 2.31-2.56
44 Dy 0.9029 0.3874 0.5861  2 C 2.31-2.56
45 Dy 0.9139 0.1126 0.5971  2 C 2.31-2.56
46 Dy 0.9139 0.3013 0.3167  2 C 2.31-2.56
47 Dy 0.9845 0.6833 0.0971  2 C 2.31-2.56
48 Dy 0.9845 0.8013 0.8874  2 C 2.31-2.56
49 Pb 0.1250 0.2500 0.3750  8 Dy 3.14-3.25
50 Pb 0.1250 0.3750 0.7500  8 Dy 3.14-3.25
51 Pb 0.2500 0.3750 0.1250  8 Dy 3.14-3.25
52 Pb 0.2500 0.8750 0.6250  8 Dy 3.14-3.25
53 Pb 0.3750 0.1250 0.2500  8 Dy 3.14-3.25
54 Pb 0.3750 0.7500 0.1250  8 Dy 3.14-3.25
55 Pb 0.6250 0.2500 0.8750  8 Dy 3.14-3.25
56 Pb 0.6250 0.8750 0.7500  8 Dy 3.14-3.25
57 Pb 0.7500 0.1250 0.3750  8 Dy 3.14-3.25
58 Pb 0.7500 0.6250 0.8750  8 Dy 3.14-3.25
59 Pb 0.8750 0.6250 0.2500  8 Dy 3.14-3.25
60 Pb 0.8750 0.7500 0.6250  8 Dy 3.14-3.25
61 C 0.0000 0.0000 0.0000  6 Dy 2.56
62 C 0.0000 0.0000 0.5000  6 Dy 2.56
63 C 0.0000 0.5000 0.0000  6 Dy 2.56
64 C 0.0000 0.5000 0.5000  6 Dy 2.56
65 C 0.1250 0.7500 0.8750  4 Dy 2.31
66 C 0.1250 0.8750 0.2500  4 Dy 2.31
67 C 0.2500 0.1250 0.8750  4 Dy 2.31
68 C 0.2500 0.6250 0.3750  4 Dy 2.31
69 C 0.3750 0.2500 0.6250  4 Dy 2.31
70 C 0.3750 0.6250 0.7500  4 Dy 2.31
71 C 0.5000 0.0000 0.0000  6 Dy 2.56
72 C 0.5000 0.0000 0.5000  6 Dy 2.56
73 C 0.5000 0.5000 0.0000  6 Dy 2.56
74 C 0.5000 0.5000 0.5000  6 Dy 2.56
75 C 0.6250 0.3750 0.2500  4 Dy 2.31
76 C 0.6250 0.7500 0.3750  4 Dy 2.31
77 C 0.7500 0.3750 0.6250  4 Dy 2.31
78 C 0.7500 0.8750 0.1250  4 Dy 2.31
79 C 0.8750 0.1250 0.7500  4 Dy 2.31
80 C 0.8750 0.2500 0.1250  4 Dy 2.31

Entry 3:
## Dy3PbC (PBE)

Data for a geometry-optimized Dy3PbC structure.

Properties
**DFT formation energy**: -0.5414 eV per atom
**Space group**: Pm-3m, No. 221

Unit cell a=4.9202 b=4.9202 c=4.9202 alpha=90.00 beta=90.00 gamma=90.00
Last column: nearest neighbours and their distance in Å.
Fractional coordinates of all 5 atoms:
1 Dy 0.0000 0.0000 0.5000  2 C 2.46
2 Dy 0.0000 0.5000 0.0000  2 C 2.46
3 Dy 0.5000 0.0000 0.0000  2 C 2.46
4 Pb 0.5000 0.5000 0.5000  12 Dy 3.48
5 C 0.0000 0.0000 0.0000  6 Dy 2.46

Entry 4:
## Dy10Pb4C3 (PBE)

Data for a geometry-optimized Dy10Pb4C3 structure.

Properties
**DFT formation energy**: -0.5488 eV per atom
**Space group**: I4/mmm, No. 139

Unit cell a=18.1190 b=18.1190 c=18.1190 alpha=164.48 beta=164.48 gamma=22.02
Last column: nearest neighbours and their distance in Å.
Fractional coordinates of all 17 atoms:
1 Dy 0.0000 0.5000 0.5000  2 C 2.45
2 Dy 0.0691 0.0691 0.0000  2 C 2.46-2.52
3 Dy 0.1380 0.6380 0.5000  2 C 2.45
4 Dy 0.2088 0.2088 0.0000  1 C 2.45
5 Dy 0.3620 0.8620 0.5000  2 C 2.45
6 Dy 0.5000 0.0000 0.5000  2 C 2.45
7 Dy 0.6380 0.1380 0.5000  2 C 2.45
8 Dy 0.7912 0.7912 0.0000  1 C 2.45
9 Dy 0.8620 0.3620 0.5000  2 C 2.45
10 Dy 0.9309 0.9309 0.0000  2 C 2.46-2.52
11 Pb 0.2993 0.2993 0.0000  9 Dy 3.22-3.47
12 Pb 0.4314 0.4314 0.0000  12 Dy 3.46-3.48
13 Pb 0.5686 0.5686 0.0000  12 Dy 3.46-3.48
14 Pb 0.7007 0.7007 0.0000  9 Dy 3.22-3.47
15 C 0.0000 0.0000 0.0000  6 Dy 2.45-2.46
16 C 0.1399 0.1399 0.0000  6 Dy 2.45-2.52
17 C 0.8601 0.8601 0.0000  6 Dy 2.45-2.52

Entry 5:
## Dy8PbC4 (PBE)

Data for a geometry-optimized Dy8PbC4 structure.

Properties
**DFT formation energy**: -0.3161 eV per atom
**Space group**: C2/m, No. 12

Unit cell a=8.9276 b=8.9276 c=11.9365 alpha=130.14 beta=130.14 gamma=23.51
Last column: nearest neighbours and their distance in Å.
Fractional coordinates of all 13 atoms:
1 Dy 0.0415 0.0415 0.2367  3 C 2.48-2.51
2 Dy 0.2967 0.2967 0.4338  3 C 2.45-2.50
3 Dy 0.3358 0.3358 0.1597  3 C 2.46
4 Dy 0.3680 0.3680 0.9100  3 C 2.50-2.51
5 Dy 0.6320 0.6320 0.0900  3 C 2.50-2.51
6 Dy 0.6642 0.6642 0.8403  3 C 2.46
7 Dy 0.7033 0.7033 0.5662  3 C 2.45-2.50
8 Dy 0.9585 0.9585 0.7633  3 C 2.48-2.51
9 Pb 0.0000 0.0000 0.5000  10 Dy 3.56-3.66, 2 Pb 3.64
10 C 0.1491 0.1491 0.9633  6 Dy 2.46-2.51
11 C 0.3328 0.3328 0.6700  6 Dy 2.45-2.50
12 C 0.6672 0.6672 0.3300  6 Dy 2.45-2.50
13 C 0.8509 0.8509 0.0367  6 Dy 2.46-2.51

Entry 6:
## Dy7Pb3C2 (PBE)

Data for a geometry-optimized Dy7Pb3C2 structure.

Properties
**DFT formation energy**: -0.5175 eV per atom
**Space group**: Cmmm, No. 65

Unit cell a=12.7075 b=12.7075 c=4.8403 alpha=90.00 beta=90.00 gamma=157.59
Last column: nearest neighbours and their distance in Å.
Fractional coordinates of all 12 atoms:
1 Dy 0.0000 0.0000 0.0000  2 C 2.49
2 Dy 0.0970 0.9030 0.5000  2 C 2.42
3 Dy 0.1978 0.8022 0.0000  1 C 2.44
4 Dy 0.3997 0.6003 0.0000  2 C 2.47
5 Dy 0.6003 0.3997 0.0000  2 C 2.47
6 Dy 0.8022 0.1978 0.0000  1 C 2.44
7 Dy 0.9030 0.0970 0.5000  2 C 2.42
8 Pb 0.3096 0.6904 0.5000  10 Dy 3.30-3.69
9 Pb 0.5000 0.5000 0.5000  12 Dy 3.46-3.48
10 Pb 0.6904 0.3096 0.5000  10 Dy 3.30-3.69
11 C 0.1000 0.9000 0.0000  6 Dy 2.42-2.49
12 C 0.9000 0.1000 0.0000  6 Dy 2.42-2.49

Entry 7:
## Dy3Pb3C (PBE)

Data for a geometry-optimized Dy3Pb3C structure.

Properties
**DFT formation energy**: -0.2777 eV per atom
**Space group**: C2/m, No. 12

Unit cell a=6.6373 b=6.6373 c=9.2786 alpha=95.46 beta=95.46 gamma=109.20
Last column: nearest neighbours and their distance in Å.
Fractional coordinates of all 14 atoms:
1 Dy 0.1038 0.4327 0.7608  1 C 2.24
2 Dy 0.1492 0.1492 0.3853  2 C 2.29-2.31
3 Dy 0.4327 0.1038 0.7608  1 C 2.24
4 Dy 0.5673 0.8962 0.2392  1 C 2.24
5 Dy 0.8508 0.8508 0.6147  2 C 2.29-2.31
6 Dy 0.8962 0.5673 0.2392  1 C 2.24
7 Pb 0.1505 0.8495 0.0000  3 Pb 3.26-3.27, 4 Dy 3.27-3.29
8 Pb 0.2891 0.7109 0.5000  8 Dy 3.21-3.56, 2 C 3.50
9 Pb 0.3667 0.3667 0.1077  3 Pb 3.09-3.27, 3 Dy 3.29-3.38
10 Pb 0.6333 0.6333 0.8923  3 Pb 3.09-3.27, 3 Dy 3.29-3.38
11 Pb 0.7109 0.2891 0.5000  8 Dy 3.21-3.56, 2 C 3.50
12 Pb 0.8495 0.1505 0.0000  3 Pb 3.26-3.27, 4 Dy 3.27-3.29
13 C 0.1545 0.1545 0.6326  4 Dy 2.24-2.31
14 C 0.8455 0.8455 0.3674  4 Dy 2.24-2.31

Entry 8:
## Dy9Pb3C2 (PBE)

Data for a geometry-optimized Dy9Pb3C2 structure.

Properties
**DFT formation energy**: -0.4544 eV per atom
**Space group**: P-3m1, No. 164

Unit cell a=6.9444 b=6.9444 c=8.5107 alpha=90.00 beta=90.00 gamma=120.00
Last column: nearest neighbours and their distance in Å.
Fractional coordinates of all 14 atoms:
1 Dy 0.0000 0.5000 0.0000  2 C 2.47
2 Dy 0.1699 0.3398 0.6697  1 C 2.39
3 Dy 0.1699 0.8301 0.6697  1 C 2.39
4 Dy 0.3398 0.1699 0.3303  1 C 2.39
5 Dy 0.5000 0.0000 0.0000  2 C 2.47
6 Dy 0.5000 0.5000 0.0000  2 C 2.47
7 Dy 0.6602 0.8301 0.6697  1 C 2.39
8 Dy 0.8301 0.1699 0.3303  1 C 2.39
9 Dy 0.8301 0.6602 0.3303  1 C 2.39
10 Pb 0.0000 0.0000 0.0000  12 Dy 3.47-3.48
11 Pb 0.3333 0.6667 0.3331  12 Dy 3.47
12 Pb 0.6667 0.3333 0.6669  12 Dy 3.47
13 C 0.3333 0.6667 0.8297  6 Dy 2.39-2.47
14 C 0.6667 0.3333 0.1703  6 Dy 2.39-2.47

Entry 9:
## Dy6Pb3C2 (PBE)

Data for a geometry-optimized Dy6Pb3C2 structure.

Properties
**DFT formation energy**: -0.3781 eV per atom
**Space group**: I4/mmm, No. 139

Unit cell a=13.0468 b=13.0468 c=13.0468 alpha=158.75 beta=158.75 gamma=30.23
Last column: nearest neighbours and their distance in Å.
Fractional coordinates of all 11 atoms:
1 Dy 0.0843 0.5843 0.5000  2 C 2.45
2 Dy 0.1937 0.1937 0.0000  1 C 2.27
3 Dy 0.4157 0.9157 0.5000  2 C 2.45
4 Dy 0.5843 0.0843 0.5000  2 C 2.45
5 Dy 0.8063 0.8063 0.0000  1 C 2.27
6 Dy 0.9157 0.4157 0.5000  2 C 2.45
7 Pb 0.3214 0.3214 0.0000  9 Dy 3.22-3.42
8 Pb 0.5000 0.5000 0.0000  8 Dy 3.21
9 Pb 0.6786 0.6786 0.0000  9 Dy 3.22-3.42
10 C 0.1034 0.1034 0.0000  5 Dy 2.27-2.45
11 C 0.8966 0.8966 0.0000  5 Dy 2.27-2.45